Run a
# Os2Pt, optimized geometry, DFT GGA-PBE
data_Os2Pt
_chemical_formula_sum 'Os8 Pt4'
_space_group_name_H-M_alt 'I 4/m c m'
_space_group_IT_number 140
_space_group_name_Hall '-I 4 2c'
_cell_length_a 6.0919
_cell_length_b 6.0919
_cell_length_c 5.1593
_cell_angle_alpha 90.00
_cell_angle_beta 90.00
_cell_angle_gamma 90.00
loop_
_atom_site_label
_atom_site_fract_x
_atom_site_fract_y
_atom_site_fract_z
Os1 0.1332 0.3668 0.0000
Pt1 0.0000 0.0000 0.2500
# Crystal system: tetragonal
# Magnetic moment: 0.00 μB/f.u.
# Calculated volume: 15.96 Å³ per atom

---

Run b
# Os2Pt, optimized geometry, DFT GGA-PBE
data_Os2Pt
_chemical_formula_sum 'Os2 Pt1'
_space_group_name_H-M_alt 'P 6/m m m'
_space_group_IT_number 191
_space_group_name_Hall '-P 6 2'
_cell_length_a 4.3891
_cell_length_b 4.3891
_cell_length_c 2.7318
_cell_angle_alpha 90.00
_cell_angle_beta 90.00
_cell_angle_gamma 120.00
loop_
_atom_site_label
_atom_site_fract_x
_atom_site_fract_y
_atom_site_fract_z
Os1 0.3333 0.6667 0.0000
Pt1 0.0000 0.0000 0.5000
# Crystal system: hexagonal
# Magnetic moment: 0.00 μB/f.u.
# Calculated volume: 15.19 Å³ per atom

---

Run c
# Os2Pt, optimized geometry, DFT GGA-PBE
data_Os2Pt
_chemical_formula_sum 'Os8 Pt4'
_space_group_name_H-M_alt 'C 1 2/m 1'
_space_group_IT_number 12
_cell_length_a 10.1870
_cell_length_b 2.7553
_cell_length_c 6.4969
_cell_angle_alpha 90.00
_cell_angle_beta 104.06
_cell_angle_gamma 90.00
loop_
_space_group_symop_operation_xyz
'x,y,z'
'-x,-y,-z'
'-x,y,-z'
'x,-y,z'
'x+1/2,y+1/2,z'
'-x+1/2,-y+1/2,-z'
'-x+1/2,y+1/2,-z'
'x+1/2,-y+1/2,z'
loop_
_atom_site_label
_atom_site_fract_x
_atom_site_fract_y
_atom_site_fract_z
Os1 0.0290 0.0000 0.3184
Os2 0.1909 0.5000 0.6310
Pt1 0.1367 0.5000 0.0300
# Crystal system: monoclinic
# Magnetic moment: 0.00 μB/f.u.
# Calculated volume: 14.74 Å³ per atom

---

Run d
# Os2Pt, optimized geometry, DFT GGA-PBE
data_Os2Pt
_chemical_formula_sum 'Os8 Pt4'
_space_group_name_H-M_alt 'P 63/m m c'
_space_group_IT_number 194
_space_group_name_Hall '-P 6c 2c'
_cell_length_a 5.0870
_cell_length_b 5.0870
_cell_length_c 8.4940
_cell_angle_alpha 90.00
_cell_angle_beta 90.00
_cell_angle_gamma 120.00
loop_
_atom_site_label
_atom_site_fract_x
_atom_site_fract_y
_atom_site_fract_z
Os1 0.0000 0.0000 0.0000
Os2 0.1723 0.3447 0.2500
Pt1 0.3333 0.6667 0.5840
# Crystal system: hexagonal
# Magnetic moment: 0.00 μB/f.u.
# Calculated volume: 15.86 Å³ per atom

---

It is run c that is most stable; the runner-up trails by 0.359 eV/atom.

---

Run a
# Os2Pt, optimized geometry, DFT GGA-PBE
data_Os2Pt
_chemical_formula_sum 'Os8 Pt4'
_space_group_name_H-M_alt 'C m c m'
_space_group_IT_number 63
_space_group_name_Hall '-C 2c 2'
_cell_length_a 2.7554
_cell_length_b 14.5998
_cell_length_c 4.4035
_cell_angle_alpha 90.00
_cell_angle_beta 90.00
_cell_angle_gamma 90.00
loop_
_atom_site_label
_atom_site_fract_x
_atom_site_fract_y
_atom_site_fract_z
Os1 0.0000 0.0511 0.2500
Os2 0.0000 0.3950 0.2500
Pt1 0.0000 0.2831 0.7500
# Crystal system: orthorhombic
# Magnetic moment: 0.00 μB/f.u.
# Calculated volume: 14.76 Å³ per atom

---

Run b
# Os2Pt, optimized geometry, DFT GGA-PBE
data_Os2Pt
_chemical_formula_sum 'Os8 Pt4'
_space_group_name_H-M_alt 'I 41/a m d'
_space_group_IT_number 141
_cell_length_a 3.4119
_cell_length_b 3.4119
_cell_length_c 17.2191
_cell_angle_alpha 90.00
_cell_angle_beta 90.00
_cell_angle_gamma 90.00
loop_
_space_group_symop_operation_xyz
'x,y,z'
'-x,-y,-z'
'-y+1/4,x+3/4,z+1/4'
'y+1/4,-x+3/4,-z+1/4'
'-x+1/2,-y,z+1/2'
'x+1/2,y,-z+1/2'
'y+1/4,-x+1/4,z+3/4'
'-y+1/4,x+1/4,-z+3/4'
'x,-y,-z'
'-x,y,z'
'-y+1/4,-x+1/4,-z+3/4'
'y+1/4,x+1/4,z+3/4'
'-x+1/2,y,-z+1/2'
'x+1/2,-y,z+1/2'
'y+1/4,x+3/4,-z+1/4'
'-y+1/4,-x+3/4,z+1/4'
'x+1/2,y+1/2,z+1/2'
'-x+1/2,-y+1/2,-z+1/2'
'-y+3/4,x+1/4,z+3/4'
'y+3/4,-x+1/4,-z+3/4'
'-x,-y+1/2,z'
'x,y+1/2,-z'
'y+3/4,-x+3/4,z+1/4'
'-y+3/4,x+3/4,-z+1/4'
'x+1/2,-y+1/2,-z+1/2'
'-x+1/2,y+1/2,z+1/2'
'-y+3/4,-x+3/4,-z+1/4'
'y+3/4,x+3/4,z+1/4'
'-x,y+1/2,-z'
'x,-y+1/2,z'
'y+3/4,x+1/4,-z+3/4'
'-y+3/4,-x+1/4,z+3/4'
loop_
_atom_site_label
_atom_site_fract_x
_atom_site_fract_y
_atom_site_fract_z
Os1 0.0000 0.2500 0.3009
Pt1 0.0000 0.2500 0.8750
# Crystal system: tetragonal
# Magnetic moment: 0.00 μB/f.u.
# Calculated volume: 16.70 Å³ per atom

---

It is run a that is most stable; the runner-up trails by 0.830 eV/atom.

---

Run a
# OsPt2, optimized geometry, DFT GGA-PBE
data_OsPt2
_chemical_formula_sum 'Os4 Pt8'
_space_group_name_H-M_alt 'I 41/a m d'
_space_group_IT_number 141
_cell_length_a 2.7402
_cell_length_b 2.7402
_cell_length_c 25.0195
_cell_angle_alpha 90.00
_cell_angle_beta 90.00
_cell_angle_gamma 90.00
loop_
_space_group_symop_operation_xyz
'x,y,z'
'-x,-y,-z'
'-y+1/4,x+3/4,z+1/4'
'y+1/4,-x+3/4,-z+1/4'
'-x+1/2,-y,z+1/2'
'x+1/2,y,-z+1/2'
'y+1/4,-x+1/4,z+3/4'
'-y+1/4,x+1/4,-z+3/4'
'x,-y,-z'
'-x,y,z'
'-y+1/4,-x+1/4,-z+3/4'
'y+1/4,x+1/4,z+3/4'
'-x+1/2,y,-z+1/2'
'x+1/2,-y,z+1/2'
'y+1/4,x+3/4,-z+1/4'
'-y+1/4,-x+3/4,z+1/4'
'x+1/2,y+1/2,z+1/2'
'-x+1/2,-y+1/2,-z+1/2'
'-y+3/4,x+1/4,z+3/4'
'y+3/4,-x+1/4,-z+3/4'
'-x,-y+1/2,z'
'x,y+1/2,-z'
'y+3/4,-x+3/4,z+1/4'
'-y+3/4,x+3/4,-z+1/4'
'x+1/2,-y+1/2,-z+1/2'
'-x+1/2,y+1/2,z+1/2'
'-y+3/4,-x+3/4,-z+1/4'
'y+3/4,x+3/4,z+1/4'
'-x,y+1/2,-z'
'x,-y+1/2,z'
'y+3/4,x+1/4,-z+3/4'
'-y+3/4,-x+1/4,z+3/4'
loop_
_atom_site_label
_atom_site_fract_x
_atom_site_fract_y
_atom_site_fract_z
Os1 0.0000 0.2500 0.3750
Pt1 0.0000 0.2500 0.7984
# Crystal system: tetragonal
# Magnetic moment: 0.00 μB/f.u.
# Calculated volume: 15.66 Å³ per atom

---

Run b
# OsPt2, optimized geometry, DFT GGA-PBE
data_OsPt2
_chemical_formula_sum 'Os1 Pt2'
_space_group_name_H-M_alt 'P -3 m 1'
_space_group_IT_number 164
_space_group_name_Hall '-P 3 2"'
_cell_length_a 2.7847
_cell_length_b 2.7847
_cell_length_c 6.7743
_cell_angle_alpha 90.00
_cell_angle_beta 90.00
_cell_angle_gamma 120.00
loop_
_atom_site_label
_atom_site_fract_x
_atom_site_fract_y
_atom_site_fract_z
Os1 0.0000 0.0000 0.0000
Pt1 0.3333 0.6667 0.6759
# Crystal system: trigonal
# Magnetic moment: 0.00 μB/f.u.
# Calculated volume: 15.17 Å³ per atom

---

It is run b that is most stable; the runner-up trails by 0.067 eV/atom.